No. 1
# meta-GGA SCAN Ni3Ir, single point on PBEsol structure
# SG	No. 12
# E_form	-2	meV/atom
data_Ni3Ir
_symmetry_space_group_name_H-M 'P 1'
_symmetry_Int_Tables_number 1
_cell_length_a 2.5714
_cell_length_b 4.3364
_cell_length_c 4.3688
_cell_angle_alpha 100.24
_cell_angle_beta 107.11
_cell_angle_gamma 90.00
loop_
_symmetry_equiv_pos_as_xyz
'x,y,z'
loop_
_atom_site_label
_atom_site_fract_x
_atom_site_fract_y
_atom_site_fract_z
_atom_site_occupancy
Ni1 0.5000 0.5000 0.0000 1
Ni2 0.7505 0.2527 0.5010 1
Ni3 0.2495 0.7473 0.4990 1
Ir1 0.0000 0.0000 0.0000 1

No. 2
# meta-GGA SCAN Ta2InPtSe, single point on PBEsol structure
# SG	No. 123
# formation energy without anion corrections	104.0	kJ per mole of atoms
data_Ta2InPtSe
_symmetry_space_group_name_H-M 'P 1'
_symmetry_Int_Tables_number 1
_cell_length_a 4.9152
_cell_length_b 4.9152
_cell_length_c 4.8867
_cell_angle_alpha 90.00
_cell_angle_beta 90.00
_cell_angle_gamma 90.00
loop_
_symmetry_equiv_pos_as_xyz
'x,y,z'
loop_
_atom_site_label
_atom_site_fract_x
_atom_site_fract_y
_atom_site_fract_z
_atom_site_occupancy
Ta1 0.0000 0.5000 0.0000 1
Ta2 0.5000 0.0000 0.0000 1
Se1 0.0000 0.0000 0.5000 1
Pt1 0.0000 0.0000 0.0000 1
In1 0.5000 0.5000 0.5000 1

No. 3
# meta-GGA SCAN TmAs, single point on PBEsol structure
# SG	No. 225
# E_form	-1675	meV/atom
data_TmAs
_symmetry_space_group_name_H-M 'P 1'
_symmetry_Int_Tables_number 1
_cell_length_a 4.0048
_cell_length_b 4.0048
_cell_length_c 4.0048
_cell_angle_alpha 60.00
_cell_angle_beta 60.00
_cell_angle_gamma 60.00
loop_
_symmetry_equiv_pos_as_xyz
'x,y,z'
loop_
_atom_site_label
_atom_site_fract_x
_atom_site_fract_y
_atom_site_fract_z
_atom_site_occupancy
Tm1 0.5000 0.5000 0.5000 1
As1 0.0000 0.0000 0.0000 1

No. 4
# meta-GGA SCAN Cs3YIr, single point on PBEsol structure
# SG	No. 221
# E_form	1758	meV/atom
data_Cs3YIr
_symmetry_space_group_name_H-M 'P 1'
_symmetry_Int_Tables_number 1
_cell_length_a 6.6642
_cell_length_b 6.6642
_cell_length_c 6.6642
_cell_angle_alpha 90.00
_cell_angle_beta 90.00
_cell_angle_gamma 90.00
loop_
_symmetry_equiv_pos_as_xyz
'x,y,z'
loop_
_atom_site_label
_atom_site_fract_x
_atom_site_fract_y
_atom_site_fract_z
_atom_site_occupancy
Cs1 0.0000 0.0000 0.5000 1
Cs2 0.0000 0.5000 0.0000 1
Cs3 0.5000 0.0000 0.0000 1
Y1 0.0000 0.0000 0.0000 1
Ir1 0.5000 0.5000 0.5000 1

No. 5
# meta-GGA SCAN RePt3O, single point on PBEsol structure
# SG	No. 221
# formation energy without anion corrections	94.4	kJ per mole of atoms
data_RePt3O
_symmetry_space_group_name_H-M 'P 1'
_symmetry_Int_Tables_number 1
_cell_length_a 4.1617
_cell_length_b 4.1617
_cell_length_c 4.1617
_cell_angle_alpha 90.00
_cell_angle_beta 90.00
_cell_angle_gamma 90.00
loop_
_symmetry_equiv_pos_as_xyz
'x,y,z'
loop_
_atom_site_label
_atom_site_fract_x
_atom_site_fract_y
_atom_site_fract_z
_atom_site_occupancy
Pt1 0.0000 0.0000 0.5000 1
Pt2 0.0000 0.5000 0.0000 1
Pt3 0.5000 0.0000 0.0000 1
Re1 0.5000 0.5000 0.5000 1
O1 0.0000 0.0000 0.0000 1

No. 6
# meta-GGA SCAN CrInCo2, single point on PBEsol structure
# SG	No. 25
# E_form	347	meV/atom
data_CrInCo2
_symmetry_space_group_name_H-M 'P 1'
_symmetry_Int_Tables_number 1
_cell_length_a 2.7097
_cell_length_b 3.4218
_cell_length_c 5.5690
_cell_angle_alpha 90.00
_cell_angle_beta 90.00
_cell_angle_gamma 90.00
loop_
_symmetry_equiv_pos_as_xyz
'x,y,z'
loop_
_atom_site_label
_atom_site_fract_x
_atom_site_fract_y
_atom_site_fract_z
_atom_site_occupancy
In1 0.0000 0.5000 0.7617 1
Co1 0.0000 0.5000 0.2638 1
Co2 0.5000 0.0000 0.0365 1
Cr1 0.5000 0.0000 0.4381 1

No. 7
# meta-GGA SCAN Ag2H2IOF, single point on PBEsol structure
# SG	No. 4
# raw total energy	-17.456	eV per atom
data_Ag2H2IOF
_symmetry_space_group_name_H-M 'P 1'
_symmetry_Int_Tables_number 1
_cell_length_a 4.6380
_cell_length_b 6.1654
_cell_length_c 7.6101
_cell_angle_alpha 90.00
_cell_angle_beta 90.00
_cell_angle_gamma 97.77
loop_
_symmetry_equiv_pos_as_xyz
'x,y,z'
loop_
_atom_site_label
_atom_site_fract_x
_atom_site_fract_y
_atom_site_fract_z
_atom_site_occupancy
Ag1 0.9802 0.7078 0.0915 1
Ag2 0.1040 0.3000 0.9712 1
Ag3 0.0198 0.2922 0.5915 1
Ag4 0.8960 0.7000 0.4712 1
H1 0.2750 0.9614 0.7341 1
H2 0.5842 0.9999 0.0342 1
H3 0.7250 0.0386 0.2341 1
H4 0.4158 0.0001 0.5342 1
F1 0.3152 0.9695 0.9296 1
F2 0.6848 0.0305 0.4296 1
O1 0.7742 0.0207 0.1047 1
O2 0.2258 0.9793 0.6047 1
I1 0.3402 0.4959 0.2975 1
I2 0.6598 0.5041 0.7975 1

No. 8
# meta-GGA SCAN TlSb2Pb, single point on PBEsol structure
# SG	No. 44
# formation energy without anion corrections	8.9	kJ per mole of atoms
data_TlSb2Pb
_symmetry_space_group_name_H-M 'P 1'
_symmetry_Int_Tables_number 1
_cell_length_a 3.9080
_cell_length_b 5.3881
_cell_length_c 6.3289
_cell_angle_alpha 115.19
_cell_angle_beta 107.98
_cell_angle_gamma 90.00
loop_
_symmetry_equiv_pos_as_xyz
'x,y,z'
loop_
_atom_site_label
_atom_site_fract_x
_atom_site_fract_y
_atom_site_fract_z
_atom_site_occupancy
Tl1 0.4880 0.4880 0.9760 1
Pb1 0.2630 0.7630 0.5260 1
Sb1 0.0208 0.0208 0.0416 1
Sb2 0.7282 0.2282 0.4564 1

No. 9
# meta-GGA SCAN Li2VP2HO8, single point on PBEsol structure
# SG	No. 4
# relative energy among the computed polymorphs	0	meV/atom
data_Li2VP2HO8
_symmetry_space_group_name_H-M 'P 1'
_symmetry_Int_Tables_number 1
_cell_length_a 4.8146
_cell_length_b 7.4795
_cell_length_c 7.9716
_cell_angle_alpha 90.00
_cell_angle_beta 90.00
_cell_angle_gamma 104.44
loop_
_symmetry_equiv_pos_as_xyz
'x,y,z'
loop_
_atom_site_label
_atom_site_fract_x
_atom_site_fract_y
_atom_site_fract_z
_atom_site_occupancy
P1 0.8844 0.0157 0.8470 1
P2 0.1156 0.9843 0.3470 1
P3 0.3844 0.5160 0.6501 1
P4 0.6156 0.4840 0.1501 1
Li1 0.1345 0.5919 0.3623 1
Li2 0.8655 0.4081 0.8623 1
Li3 0.6339 0.0918 0.1349 1
Li4 0.3661 0.9082 0.6349 1
H1 0.2489 0.2495 0.9983 1
H2 0.7511 0.7505 0.4983 1
O1 0.2683 0.5621 0.8199 1
O2 0.9881 0.8001 0.4418 1
O3 0.5120 0.7001 0.5555 1
O4 0.7685 0.0624 0.6774 1
O5 0.7317 0.4379 0.3199 1
O6 0.0119 0.1999 0.9418 1
O7 0.2315 0.9376 0.1774 1
O8 0.1080 0.9015 0.8241 1
O9 0.8920 0.0985 0.3241 1
O10 0.8656 0.5913 0.0399 1
O11 0.1344 0.4087 0.5399 1
O12 0.4880 0.2999 0.0555 1
O13 0.3656 0.0914 0.4572 1
O14 0.6344 0.9086 0.9572 1
O15 0.6079 0.4016 0.6730 1
O16 0.3921 0.5984 0.1730 1
V1 0.2499 0.7498 0.9986 1
V2 0.7501 0.2502 0.4986 1

No. 10
# meta-GGA SCAN SiRu2W, single point on PBEsol structure
# SG	No. 123
# formation energy without anion corrections	-41.3	kJ per mole of atoms
data_SiRu2W
_symmetry_space_group_name_H-M 'P 1'
_symmetry_Int_Tables_number 1
_cell_length_a 2.8462
_cell_length_b 2.8462
_cell_length_c 6.5779
_cell_angle_alpha 90.00
_cell_angle_beta 90.00
_cell_angle_gamma 90.00
loop_
_symmetry_equiv_pos_as_xyz
'x,y,z'
loop_
_atom_site_label
_atom_site_fract_x
_atom_site_fract_y
_atom_site_fract_z
_atom_site_occupancy
W1 0.5000 0.5000 0.5000 1
Ru1 0.0000 0.0000 0.7813 1
Ru2 0.0000 0.0000 0.2187 1
Si1 0.5000 0.5000 0.0000 1

No. 11
# meta-GGA SCAN TiSI2N, single point on PBEsol structure
# SG	No. 123
# formation energy without anion corrections	78.3	kJ per mole of atoms
data_TiSI2N
_symmetry_space_group_name_H-M 'P 1'
_symmetry_Int_Tables_number 1
_cell_length_a 3.4093
_cell_length_b 5.6310
_cell_length_c 5.6310
_cell_angle_alpha 90.00
_cell_angle_beta 90.00
_cell_angle_gamma 90.00
loop_
_symmetry_equiv_pos_as_xyz
'x,y,z'
loop_
_atom_site_label
_atom_site_fract_x
_atom_site_fract_y
_atom_site_fract_z
_atom_site_occupancy
I1 0.0000 0.0000 0.5000 1
I2 0.0000 0.5000 0.0000 1
Ti1 0.5000 0.5000 0.5000 1
N1 0.5000 0.0000 0.0000 1
S1 0.0000 0.0000 0.0000 1

No. 12
# meta-GGA SCAN YCr3Ge, single point on PBEsol structure
# SG	No. 221
# E_form	1924	meV/atom
data_YCr3Ge
_symmetry_space_group_name_H-M 'P 1'
_symmetry_Int_Tables_number 1
_cell_length_a 4.7172
_cell_length_b 4.7172
_cell_length_c 4.7172
_cell_angle_alpha 90.00
_cell_angle_beta 90.00
_cell_angle_gamma 90.00
loop_
_symmetry_equiv_pos_as_xyz
'x,y,z'
loop_
_atom_site_label
_atom_site_fract_x
_atom_site_fract_y
_atom_site_fract_z
_atom_site_occupancy
Cr1 0.5000 0.0000 0.0000 1
Cr2 0.0000 0.0000 0.5000 1
Cr3 0.0000 0.5000 0.0000 1
Y1 0.0000 0.0000 0.0000 1
Ge1 0.5000 0.5000 0.5000 1